The following is a PBE-GGA calculation of a relaxed structure of Tb3Tm2Hg3, from the Alexandria database.

Lattice parameters (Å, degrees): 11.473 11.473 11.473 161.37 153.23 32.81
Sites, in units of the cell vectors:
Tb (0.000, 0.000, 0.000)
Tb (0.378, 0.878, 0.500)
Tb (0.622, 0.122, 0.500)
Tm (0.233, 0.233, 0.000)
Tm (0.767, 0.767, 0.000)
Hg (0.121, 0.621, 0.500)
Hg (0.500, 0.500, 0.000)
Hg (0.879, 0.379, 0.500)

Computed properties:
- energy of formation from the pure elements (eV per atom) = -0.359
- density of states at the Fermi level (states/eV per cell) = 10.1
- SG = Immm, No. 71

---

The following is a PBE-GGA calculation of a relaxed structure of Tb4Tm2Hg, from the Alexandria database.

Lattice parameters (Å, degrees): 8.329 8.329 8.411 116.98 116.98 24.31
Sites, in units of the cell vectors:
Tb (0.083, 0.083, 0.203)
Tb (0.369, 0.369, 0.109)
Tb (0.631, 0.631, 0.891)
Tb (0.917, 0.917, 0.797)
Tm (0.216, 0.216, 0.639)
Tm (0.784, 0.784, 0.361)
Hg (0.000, 0.000, 0.500)

Computed properties:
- energy of formation from the pure elements (eV per atom) = -0.007
- density of states at the Fermi level (states/eV per cell) = 9.2
- SG = C2/m, No. 12

---

The following is a PBE-GGA calculation of a relaxed structure of Tb6TmHg5, from the Alexandria database.

Lattice parameters (Å, degrees): 9.244 9.244 9.244 147.60 129.77 61.05
Sites, in units of the cell vectors:
Tb (0.074, 0.328, 0.746)
Tb (0.225, 0.000, 0.225)
Tb (0.418, 0.672, 0.746)
Tb (0.582, 0.328, 0.254)
Tb (0.775, 0.000, 0.775)
Tb (0.926, 0.672, 0.254)
Tm (0.500, 0.500, 0.000)
Hg (0.000, 0.500, 0.500)
Hg (0.172, 0.172, 0.000)
Hg (0.356, 0.856, 0.500)
Hg (0.644, 0.144, 0.500)
Hg (0.828, 0.828, 0.000)

Computed properties:
- energy of formation from the pure elements (eV per atom) = -0.351
- density of states at the Fermi level (states/eV per cell) = 14.2
- SG = Immm, No. 71

---

The following is a PBE-GGA calculation of a relaxed structure of TbTm2Hg4, from the Alexandria database.

Lattice parameters (Å, degrees): 6.302 6.302 6.302 109.16 109.16 110.09
Sites, in units of the cell vectors:
Tb (0.000, 0.000, 0.000)
Tm (0.000, 0.500, 0.500)
Tm (0.500, 0.000, 0.500)
Hg (0.000, 0.000, 0.500)
Hg (0.000, 0.500, 0.000)
Hg (0.500, 0.000, 0.000)
Hg (0.500, 0.500, 0.500)

Computed properties:
- energy of formation from the pure elements (eV per atom) = -0.397
- density of states at the Fermi level (states/eV per cell) = 2.5
- energy above the lowest structure with this stoichiometry (eV per atom) = 0.000
- SG = I4/mmm, No. 139

---

The following is a PBE-GGA calculation of a relaxed structure of TbTm6Hg2, from the Alexandria database.

Lattice parameters (Å, degrees): 6.491 6.491 11.699 108.09 108.09 32.88
Sites, in units of the cell vectors:
Tb (0.000, 0.000, 0.000)
Tm (0.014, 0.014, 0.339)
Tm (0.312, 0.312, 0.124)
Tm (0.313, 0.313, 0.417)
Tm (0.687, 0.687, 0.583)
Tm (0.688, 0.688, 0.876)
Tm (0.986, 0.986, 0.661)
Hg (0.353, 0.353, 0.789)
Hg (0.647, 0.647, 0.211)

Computed properties:
- energy of formation from the pure elements (eV per atom) = -0.201
- density of states at the Fermi level (states/eV per cell) = 10.2
- SG = C2/m, No. 12

---

The following is a PBE-GGA calculation of a relaxed structure of Tb2Tm3Hg4, from the Alexandria database.

Lattice parameters (Å, degrees): 9.535 9.535 7.970 90.00 90.00 137.59
Sites, in units of the cell vectors:
Tb (0.095, 0.905, 0.910)
Tb (0.405, 0.595, 0.410)
Tb (0.595, 0.405, 0.590)
Tb (0.905, 0.095, 0.090)
Tm (0.000, 0.000, 0.500)
Tm (0.012, 0.488, 0.750)
Tm (0.488, 0.012, 0.250)
Tm (0.500, 0.500, 0.000)
Tm (0.512, 0.988, 0.750)
Tm (0.988, 0.512, 0.250)
Hg (0.167, 0.833, 0.532)
Hg (0.184, 0.316, 0.750)
Hg (0.316, 0.184, 0.250)
Hg (0.333, 0.667, 0.032)
Hg (0.667, 0.333, 0.968)
Hg (0.684, 0.816, 0.750)
Hg (0.816, 0.684, 0.250)
Hg (0.833, 0.167, 0.468)

Computed properties:
- energy of formation from the pure elements (eV per atom) = -0.337
- density of states at the Fermi level (states/eV per cell) = 13.6
- SG = Cmce, No. 64

---

The following is a PBE-GGA calculation of a relaxed structure of Tb4TmHg7, from the Alexandria database.

Lattice parameters (Å, degrees): 6.984 6.984 10.938 119.22 119.22 46.35
Sites, in units of the cell vectors:
Tb (0.080, 0.080, 0.277)
Tb (0.235, 0.235, 0.821)
Tb (0.765, 0.765, 0.179)
Tb (0.920, 0.920, 0.723)
Tm (0.500, 0.500, 0.500)
Hg (0.000, 0.000, 0.500)
Hg (0.139, 0.139, 0.038)
Hg (0.298, 0.298, 0.583)
Hg (0.424, 0.424, 0.165)
Hg (0.576, 0.576, 0.835)
Hg (0.702, 0.702, 0.417)
Hg (0.861, 0.861, 0.962)

Computed properties:
- energy of formation from the pure elements (eV per atom) = -0.316
- density of states at the Fermi level (states/eV per cell) = 6.5
- SG = C2/m, No. 12

---

The following is a PBE-GGA calculation of a relaxed structure of Tb5TmHg3, from the Alexandria database.

Lattice parameters (Å, degrees): 9.107 9.107 6.905 90.00 90.00 120.00
Sites, in units of the cell vectors:
Tb (0.000, 0.332, 0.250)
Tb (0.000, 0.668, 0.750)
Tb (0.332, 0.000, 0.250)
Tb (0.332, 0.332, 0.750)
Tb (0.333, 0.667, 0.000)
Tb (0.333, 0.667, 0.500)
Tb (0.667, 0.333, 0.000)
Tb (0.667, 0.333, 0.500)
Tb (0.668, 0.000, 0.750)
Tb (0.668, 0.668, 0.250)
Tm (0.000, 0.000, 0.000)
Tm (0.000, 0.000, 0.500)
Hg (0.000, 0.333, 0.750)
Hg (0.000, 0.667, 0.250)
Hg (0.333, 0.000, 0.750)
Hg (0.333, 0.333, 0.250)
Hg (0.667, 0.000, 0.250)
Hg (0.667, 0.667, 0.750)

Computed properties:
- energy of formation from the pure elements (eV per atom) = -0.312
- density of states at the Fermi level (states/eV per cell) = 9.2
- SG = P6_3/mcm, No. 193